[1]
Sc2Te | Alexandria via LeMat-Bulk | PBE | optimized geometry; E_form (uncorrected) = -0.154 eV/atom
1.0
0.000 4.217 4.217
4.217 0.000 4.217
4.217 4.217 0.000
Sc Te
4 2
direct
0.625 0.125 0.125
0.125 0.625 0.125
0.125 0.125 0.625
0.125 0.125 0.125
0.500 0.500 0.500
0.750 0.750 0.750

[2]
ZnTcMo3 | Alexandria via LeMat-Bulk | PBE | optimized geometry; energy of formation = 767 kJ/mol of formula units; E above lowest polymorph = 0.000 eV per atom
1.0
4.692 0.000 0.000
0.000 4.692 0.000
0.000 0.000 4.692
Zn Mo Tc
1 3 1
direct
0.500 0.500 0.500
0.000 0.500 0.000
0.000 0.000 0.500
0.500 0.000 0.000
0.000 0.000 0.000

[3]
Ce2Zn2Co2C | Alexandria via LeMat-Bulk | PBE | optimized geometry; energy of formation = -173 kJ/mol of formula units
1.0
-1.225 3.131 -1.864
-4.368 -0.690 -2.247
-5.845 0.476 4.650
Ce Zn Co C
2 2 2 1
direct
0.561 0.877 0.808
0.439 0.123 0.192
0.828 0.343 0.456
0.172 0.657 0.544
0.799 0.403 0.793
0.201 0.597 0.207
0.000 0.000 0.000

[4]
KNiPd2I | Alexandria via LeMat-Bulk | PBE | optimized geometry; E_form (uncorrected) = 0.220 eV/atom
1.0
-3.814 -2.319 -2.048
-1.415 -1.655 4.509
-2.765 4.014 0.605
I Ni K Pd
1 1 1 2
direct
0.000 0.500 0.000
0.000 0.000 0.000
0.500 0.500 0.500
0.000 0.000 0.500
0.500 0.000 0.000

[5]
OsRh3 | Alexandria via LeMat-Bulk | PBE | optimized geometry; energy of formation = 19 kJ/mol of formula units
1.0
-0.639 4.119 -2.176
-2.242 2.317 -3.422
-0.302 -5.990 9.045
Rh Os
3 1
direct
0.993 0.993 0.245
0.000 0.000 0.500
0.007 0.007 0.755
0.000 0.000 0.000

[6]
AgSn3Pb | Alexandria via LeMat-Bulk | PBE | optimized geometry; energy of formation = 59 kJ/mol of formula units; E above lowest polymorph = 0.000 eV per atom
1.0
-2.655 3.450 -4.262
-5.950 0.525 4.132
5.322 4.899 0.649
Ag Sn Pb
2 6 2
direct
0.000 0.000 0.000
0.500 0.000 0.000
0.750 0.615 0.808
0.250 0.808 0.615
0.250 0.385 0.192
0.750 0.192 0.385
0.250 0.808 0.192
0.750 0.192 0.808
0.750 0.667 0.333
0.250 0.333 0.667

[7]
MnHgAu2 | Alexandria via LeMat-Bulk | PBE | optimized geometry; energy of formation = 26 kJ/mol of formula units
1.0
-0.998 -3.657 8.318
2.121 -3.858 8.011
0.812 -1.190 9.027
Au Hg Mn
2 1 1
direct
0.009 0.009 0.009
0.491 0.491 0.491
0.250 0.250 0.250
0.750 0.750 0.750

[8]
NdTm3Sn2 | Alexandria via LeMat-Bulk | PBE | optimized geometry; energy of formation = -279 kJ/mol of formula units
1.0
4.564 0.000 0.000
-2.282 10.123 -0.507
0.000 -5.087 7.909
Nd Tm Sn
2 6 4
direct
0.885 0.771 0.907
0.115 0.229 0.093
0.307 0.615 0.502
0.943 0.887 0.576
0.642 0.283 0.800
0.358 0.717 0.200
0.057 0.113 0.424
0.693 0.385 0.498
0.488 0.975 0.830
0.512 0.025 0.170
0.758 0.516 0.226
0.242 0.484 0.774